# 1
Crystalline IrWCl2 at its relaxed geometry, computed with GGA-PBE.

Its total energy is -6.56 eV per atom. For the total moment, the calculation gives 0.00 Bohr magnetons per cell. As for the density of states at the Fermi level: 0.522 states/eV per atom. The symmetry is Cm (8). As for the energy relative to the elements, uncorrected: -179 meV/atom.

Cell lengths 3.555, 3.555, 8.750 Å; angles 91.16, 91.16, 59.98 degrees
Element x y z (fractional)
Cl  0.636  0.636  0.693
W  0.289  0.289  0.288
Cl  0.948  0.948  0.085
Ir  0.627  0.627  0.435



# 2
Crystalline K3LiBe2F8 at its relaxed geometry, computed with GGA-PBE.

Its total energy is -5.06 eV per atom. For the total moment, the calculation gives 0.04 Bohr magnetons per cell. As for the density of states at the Fermi level: 0.000 states/eV per atom. The symmetry is P-3m1 (164). As for the energy relative to the elements, uncorrected: -3091 meV/atom.

Cell lengths 5.523, 5.523, 7.183 Å; angles 90.00, 90.00, 120.00 degrees
Element x y z (fractional)
K  0.000  0.000  0.000
F  0.179  0.821  0.325
F  0.642  0.821  0.325
Li  0.000  0.000  0.500
F  0.333  0.667  0.032
F  0.358  0.179  0.675
Be  0.333  0.667  0.244
F  0.821  0.642  0.675
K  0.333  0.667  0.673
F  0.667  0.333  0.968
Be  0.667  0.333  0.756
F  0.821  0.179  0.675
F  0.179  0.358  0.325
K  0.667  0.333  0.327



# 3
Crystalline TbNpSi3 at its relaxed geometry, computed with GGA-PBE.

Its total energy is -7.24 eV per atom. For the total moment, the calculation gives 7.80 Bohr magnetons per cell. As for the density of states at the Fermi level: 1.494 states/eV per atom. The symmetry is Cmcm (63). As for the energy relative to the elements, uncorrected: -470 meV/atom.

Cell lengths 3.927, 4.121, 12.432 Å; angles 99.54, 90.00, 90.00 degrees
Each line ends with the local moment (μB).
Element x y z (fractional)
Si  0.750  0.325  0.650  0.00
Si  0.250  0.382  0.765  -0.02
Si  0.750  0.618  0.235  -0.02
Tb  0.250  0.798  0.596  -0.01
Np  0.750  0.931  0.862  3.65
Tb  0.750  0.202  0.404  -0.01
Np  0.250  0.069  0.138  3.65
Si  0.250  0.476  0.952  -0.03
Si  0.250  0.675  0.350  0.00
Si  0.750  0.524  0.048  -0.03



# 4
Crystalline CdFeAs at its relaxed geometry, computed with GGA-PBE.

Its total energy is -4.66 eV per atom. For the total moment, the calculation gives 0.00 Bohr magnetons per cell. The calculation puts the formation enthalpy at 0 K at 0.016 eV per atom. As for the density of states at the Fermi level: 0.772 states/eV per atom. The symmetry is P4/nmm (129).

Cell lengths 4.057, 4.057, 6.098 Å; angles 90.00, 90.00, 90.00 degrees
Element x y z (fractional)
As  0.500  0.000  0.709
Cd  0.500  0.000  0.165
As  0.000  0.500  0.291
Fe  0.500  0.500  0.500
Fe  0.000  0.000  0.500
Cd  0.000  0.500  0.835



# 5
Crystalline NaSr2CoN2 at its relaxed geometry, computed with GGA-PBE.

Its total energy is -5.03 eV per atom. For the total moment, the calculation gives 3.95 Bohr magnetons per cell. The symmetry is Pnnm (58). As for the energy relative to the elements, uncorrected: -289 meV/atom.

Cell lengths 4.527, 6.355, 7.905 Å; angles 90.00, 90.00, 90.00 degrees
Each line ends with the local moment (μB).
Element x y z (fractional)
Co  0.000  0.000  0.000  1.53
N  0.500  0.245  0.597  0.12
Na  0.000  0.000  0.500  0.01
Sr  0.000  0.609  0.252  0.01
Na  0.500  0.500  0.000  0.01
Sr  0.500  0.891  0.752  0.01
N  0.500  0.755  0.403  0.12
Sr  0.000  0.391  0.748  0.01
N  0.000  0.745  0.903  0.12
Sr  0.500  0.109  0.248  0.01
Co  0.500  0.500  0.500  1.53
N  0.000  0.255  0.097  0.12



# 6
Crystalline LiSmErCd at its relaxed geometry, computed with GGA-PBE.

Its total energy is -3.14 eV per atom. For the total moment, the calculation gives 0.00 Bohr magnetons per cell. The calculation puts the formation enthalpy at 0 K at -0.112 eV per atom. As for the density of states at the Fermi level: 1.341 states/eV per atom. The symmetry is F-43m (216).

Cell lengths 5.289, 5.289, 5.289 Å; angles 60.00, 60.00, 60.00 degrees
Element x y z (fractional)
Li  0.250  0.250  0.250
Sm  0.000  0.000  0.000
Er  0.500  0.500  0.500
Cd  0.750  0.750  0.750



# 7
Crystalline Cu2Hg2Cl at its relaxed geometry, computed with GGA-PBE.

Its total energy is -2.01 eV per atom. For the total moment, the calculation gives 0.00 Bohr magnetons per cell. As for the density of states at the Fermi level: 0.358 states/eV per atom. The symmetry is P4/mbm (127). As for the energy relative to the elements, uncorrected: 116 meV/atom.

Cell lengths 7.361, 7.361, 3.559 Å; angles 90.00, 90.00, 90.00 degrees
Element x y z (fractional)
Cu  0.377  0.877  0.000
Cu  0.623  0.123  0.000
Cl  0.500  0.500  0.000
Hg  0.173  0.673  0.500
Cl  0.000  0.000  0.000
Hg  0.673  0.827  0.500
Cu  0.877  0.623  0.000
Hg  0.327  0.173  0.500
Cu  0.123  0.377  0.000
Hg  0.827  0.327  0.500



# 8
Crystalline KLi2Ag at its relaxed geometry, computed with GGA-PBE.

Its total energy is -1.76 eV per atom. For the total moment, the calculation gives 0.00 Bohr magnetons per cell. The calculation puts the formation enthalpy at 0 K at 0.185 eV per atom. As for the density of states at the Fermi level: 0.433 states/eV per atom. The symmetry is C2/m (12).

Cell lengths 5.938, 6.185, 3.324 Å; angles 76.71, 85.36, 117.28 degrees
Element x y z (fractional)
Li  0.500  0.000  0.500
Li  0.000  0.000  0.000
K  0.500  0.500  0.000
Ag  0.000  0.500  0.500



# 9
Crystalline CdPd2Au at its relaxed geometry, computed with GGA-PBE.

Its total energy is -3.94 eV per atom. For the total moment, the calculation gives 0.00 Bohr magnetons per cell. The calculation puts the formation enthalpy at 0 K at -0.295 eV per atom. As for the density of states at the Fermi level: 0.234 states/eV per atom. The symmetry is P4/mmm (123).

Cell lengths 3.639, 4.330, 4.330 Å; angles 90.00, 90.00, 90.00 degrees
Element x y z (fractional)
Au  0.500  0.500  0.500
Pd  0.000  0.000  0.500
Pd  0.000  0.500  0.000
Cd  0.500  0.000  0.000



# 10
Crystalline Ca2Ga3SnIr4 at its relaxed geometry, computed with GGA-PBE.

Its total energy is -5.78 eV per atom. For the total moment, the calculation gives 0.00 Bohr magnetons per cell. The calculation puts the formation enthalpy at 0 K at -0.530 eV per atom. As for the density of states at the Fermi level: 0.467 states/eV per atom. The symmetry is P-4m2 (115).

Cell lengths 4.328, 4.328, 10.434 Å; angles 90.00, 90.00, 90.00 degrees
Element x y z (fractional)
Ga  0.500  0.000  0.878
Ga  0.000  0.000  0.500
Ir  0.500  0.500  0.000
Ga  0.000  0.500  0.122
Ca  0.500  0.000  0.226
Ir  0.500  0.000  0.639
Ir  0.000  0.000  0.000
Ir  0.000  0.500  0.361
Sn  0.500  0.500  0.500
Ca  0.000  0.500  0.774



# 11
Crystalline GaNi2Te2 at its relaxed geometry, computed with GGA-PBE.

Its total energy is -4.26 eV per atom. For the total moment, the calculation gives 0.00 Bohr magnetons per cell. As for the density of states at the Fermi level: 0.948 states/eV per atom. The symmetry is I4/mmm (139). As for the energy relative to the elements, uncorrected: -83 meV/atom.

Cell lengths 3.758, 3.758, 7.879 Å; angles 76.20, 76.20, 90.00 degrees
Element x y z (fractional)
Ni  0.250  0.750  0.500
Ga  0.000  0.000  0.000
Te  0.634  0.634  0.732
Ni  0.750  0.250  0.500
Te  0.366  0.366  0.268



# 12
Crystalline La8Tb2Mg3 at its relaxed geometry, computed with GGA-PBE.

Its total energy is -4.06 eV per atom. For the total moment, the calculation gives 0.00 Bohr magnetons per cell. The calculation puts the formation enthalpy at 0 K at 0.052 eV per atom. As for the density of states at the Fermi level: 1.373 states/eV per atom. The symmetry is P2/m (10).

Cell lengths 5.562, 13.918, 11.982 Å; angles 151.45, 90.00, 90.00 degrees
Element x y z (fractional)
La  0.000  0.740  0.676
La  0.500  0.410  0.256
La  0.000  0.652  0.275
La  0.000  0.348  0.725
Tb  0.500  0.885  0.630
La  0.500  0.590  0.744
Tb  0.500  0.115  0.370
Mg  0.500  0.000  0.000
Mg  0.000  0.839  0.092
La  0.500  0.749  0.187
Mg  0.000  0.161  0.908
La  0.500  0.251  0.813
La  0.000  0.260  0.324